Computed, not measured: a relaxed structure of Tb3PuRu4 at the GGA-PBE level of DFT.

abc: 4.807 4.807 7.605
angles: 108.17 108.17 90.06
Atoms (fractional coordinates):
Tb (0.000, 0.000, 0.000)
Tb (0.249, 0.249, 0.498)
Tb (0.751, 0.751, 0.502)
Pu (0.500, 0.500, 0.000)
Ru (0.122, 0.619, 0.238)
Ru (0.381, 0.878, 0.762)
Ru (0.619, 0.122, 0.238)
Ru (0.878, 0.381, 0.762)

Properties
total magnetization = 0.4300 μB/atom
uncorrected energy = -8.44 eV per atom
DFT formation energy = -6.3 kcal/mol of atoms


Computed, not measured: a relaxed structure of TbPuZnRu at the GGA-PBE level of DFT.

abc: 4.919 4.919 4.919
angles: 60.00 60.00 60.00
Atoms (fractional coordinates):
Tb (0.000, 0.000, 0.000)
Pu (0.500, 0.500, 0.500)
Zn (0.750, 0.750, 0.750)
Ru (0.250, 0.250, 0.250)

Properties
total magnetization = 1.3290 μB/atom
uncorrected energy = -7.55 eV per atom
DFT formation energy = -3.9 kcal/mol of atoms


Computed, not measured: a relaxed structure of Pu2TcRu3 at the GGA-PBE level of DFT.

abc: 5.130 5.130 5.130
angles: 65.56 65.56 65.56
Atoms (fractional coordinates):
Pu (0.123, 0.123, 0.123)
Pu (0.877, 0.877, 0.877)
Tc (0.500, 0.500, 0.500)
Ru (0.000, 0.500, 0.500)
Ru (0.500, 0.000, 0.500)
Ru (0.500, 0.500, 0.000)

Properties
total magnetization = 1.4409 μB/atom
uncorrected energy = -11.24 eV per atom
DFT formation energy = -2.3 kcal/mol of atoms


Computed, not measured: a relaxed structure of Pu6Tc2Ru3 at the GGA-PBE level of DFT.

abc: 10.082 10.082 10.082
angles: 150.40 150.40 42.35
Atoms (fractional coordinates):
Pu (0.088, 0.588, 0.500)
Pu (0.213, 0.213, 0.000)
Pu (0.412, 0.912, 0.500)
Pu (0.588, 0.088, 0.500)
Pu (0.787, 0.787, 0.000)
Pu (0.912, 0.412, 0.500)
Tc (0.069, 0.069, 0.000)
Tc (0.931, 0.931, 0.000)
Ru (0.341, 0.341, 0.000)
Ru (0.500, 0.500, 0.000)
Ru (0.659, 0.659, 0.000)

Properties
total magnetization = 0.7624 μB/atom
uncorrected energy = -11.90 eV per atom
DFT formation energy = 7.5 kcal/mol of atoms


Computed, not measured: a relaxed structure of Pu6Tc3Ru at the GGA-PBE level of DFT.

abc: 5.566 5.566 12.973
angles: 90.00 90.00 120.00
Atoms (fractional coordinates):
Pu (0.136, 0.357, 0.339)
Pu (0.136, 0.779, 0.161)
Pu (0.221, 0.357, 0.161)
Pu (0.221, 0.864, 0.339)
Pu (0.357, 0.136, 0.661)
Pu (0.357, 0.221, 0.839)
Pu (0.643, 0.779, 0.339)
Pu (0.643, 0.864, 0.161)
Pu (0.779, 0.136, 0.839)
Pu (0.779, 0.643, 0.661)
Pu (0.864, 0.221, 0.661)
Pu (0.864, 0.643, 0.839)
Tc (0.000, 0.000, 0.000)
Tc (0.000, 0.000, 0.500)
Tc (0.333, 0.667, 0.522)
Tc (0.333, 0.667, 0.978)
Tc (0.667, 0.333, 0.022)
Tc (0.667, 0.333, 0.478)
Ru (0.333, 0.667, 0.750)
Ru (0.667, 0.333, 0.250)

Properties
total magnetization = 0.0007 μB/atom
uncorrected energy = -12.12 eV per atom
DFT formation energy = 11.9 kcal/mol of atoms


Computed, not measured: a relaxed structure of Pu4TcRu at the GGA-PBE level of DFT.

abc: 7.019 7.019 5.104
angles: 105.32 105.32 107.39
Atoms (fractional coordinates):
Pu (0.053, 0.633, 0.895)
Pu (0.169, 0.413, 0.589)
Pu (0.367, 0.947, 0.605)
Pu (0.413, 0.169, 0.089)
Pu (0.587, 0.831, 0.911)
Pu (0.633, 0.053, 0.395)
Pu (0.831, 0.587, 0.411)
Pu (0.947, 0.367, 0.105)
Tc (0.013, 0.987, 0.250)
Tc (0.987, 0.013, 0.750)
Ru (0.436, 0.564, 0.250)
Ru (0.564, 0.436, 0.750)

Properties
total magnetization = 0.0000 μB/atom
ΔE to the lowest computed polymorph = 0 meV/atom
uncorrected energy = -12.66 eV per atom
DFT formation energy = 4.0 kcal/mol of atoms


Computed, not measured: a relaxed structure of Pu4TcRu3 at the GGA-PBE level of DFT.

abc: 7.548 7.546 4.781
angles: 71.56 71.51 36.93
Atoms (fractional coordinates):
Pu (0.125, 0.125, 0.375)
Pu (0.375, 0.375, 0.125)
Pu (0.625, 0.625, 0.875)
Pu (0.875, 0.875, 0.625)
Tc (0.000, 0.000, 0.000)
Ru (0.246, 0.246, 0.754)
Ru (0.500, 0.500, 0.500)
Ru (0.754, 0.754, 0.246)

Properties
total magnetization = 2.1238 μB/atom
uncorrected energy = -12.03 eV per atom
DFT formation energy = -2.1 kcal/mol of atoms


Computed, not measured: a relaxed structure of PuTcRu2 at the GGA-PBE level of DFT.

abc: 4.007 4.007 3.999
angles: 90.00 90.00 90.00
Atoms (fractional coordinates):
Pu (0.000, 0.000, 0.000)
Tc (0.500, 0.500, 0.000)
Ru (0.000, 0.500, 0.500)
Ru (0.500, 0.000, 0.500)

Properties
total magnetization = 0.5532 μB/atom
uncorrected energy = -10.73 eV per atom
DFT formation energy = 2.0 kcal/mol of atoms


Computed, not measured: a relaxed structure of Pu8TcRu5 at the GGA-PBE level of DFT.

abc: 7.252 7.252 7.252
angles: 109.50 109.50 109.41
Atoms (fractional coordinates):
Pu (0.016, 0.137, 0.758)
Pu (0.245, 0.486, 0.607)
Pu (0.363, 0.755, 0.241)
Pu (0.379, 0.258, 0.242)
Pu (0.514, 0.122, 0.759)
Pu (0.742, 0.984, 0.121)
Pu (0.863, 0.621, 0.879)
Pu (0.878, 0.637, 0.393)
Tc (0.500, 0.500, 0.000)
Ru (0.143, 0.008, 0.381)
Ru (0.239, 0.857, 0.865)
Ru (0.627, 0.761, 0.619)
Ru (0.750, 0.250, 0.500)
Ru (0.992, 0.373, 0.135)

Properties
total magnetization = 2.6304 μB/atom
uncorrected energy = -12.27 eV per atom
DFT formation energy = -0.6 kcal/mol of atoms


Computed, not measured: a relaxed structure of Pu3TcRu at the GGA-PBE level of DFT.

abc: 7.758 7.758 7.377
angles: 100.98 100.98 73.67
Atoms (fractional coordinates):
Pu (0.069, 0.160, 0.455)
Pu (0.160, 0.069, 0.955)
Pu (0.185, 0.524, 0.928)
Pu (0.207, 0.564, 0.558)
Pu (0.436, 0.793, 0.942)
Pu (0.476, 0.815, 0.572)
Pu (0.524, 0.185, 0.428)
Pu (0.564, 0.207, 0.058)
Pu (0.793, 0.436, 0.442)
Pu (0.815, 0.476, 0.072)
Pu (0.840, 0.931, 0.045)
Pu (0.931, 0.840, 0.545)
Tc (0.161, 0.400, 0.234)
Tc (0.400, 0.161, 0.734)
Tc (0.600, 0.839, 0.266)
Tc (0.839, 0.600, 0.766)
Ru (0.164, 0.836, 0.250)
Ru (0.458, 0.542, 0.250)
Ru (0.542, 0.458, 0.750)
Ru (0.836, 0.164, 0.750)

Properties
total magnetization = 0.8048 μB/atom
uncorrected energy = -12.35 eV per atom
DFT formation energy = 4.0 kcal/mol of atoms


Computed, not measured: a relaxed structure of Pu6Tc5Ru at the GGA-PBE level of DFT.

abc: 7.477 7.477 6.769
angles: 90.00 90.00 142.51
Atoms (fractional coordinates):
Pu (0.000, 0.000, 0.248)
Pu (0.000, 0.000, 0.752)
Pu (0.334, 0.666, 0.251)
Pu (0.334, 0.666, 0.749)
Pu (0.666, 0.334, 0.251)
Pu (0.666, 0.334, 0.749)
Tc (0.166, 0.834, 0.500)
Tc (0.169, 0.831, 0.000)
Tc (0.500, 0.500, 0.500)
Tc (0.831, 0.169, 0.000)
Tc (0.834, 0.166, 0.500)
Ru (0.500, 0.500, 0.000)

Properties
total magnetization = 1.9915 μB/atom
uncorrected energy = -12.22 eV per atom
DFT formation energy = 1.0 kcal/mol of atoms


Computed, not measured: a relaxed structure of Pu6Tc2Ru at the GGA-PBE level of DFT.

abc: 7.568 7.568 2.959
angles: 90.00 90.00 120.00
Atoms (fractional coordinates):
Pu (0.000, 0.337, 0.086)
Pu (0.000, 0.663, 0.914)
Pu (0.337, 0.000, 0.086)
Pu (0.337, 0.337, 0.914)
Pu (0.663, 0.000, 0.914)
Pu (0.663, 0.663, 0.086)
Tc (0.333, 0.667, 0.500)
Tc (0.667, 0.333, 0.500)
Ru (0.000, 0.000, 0.500)

Properties
total magnetization = 0.0000 μB/atom
uncorrected energy = -12.73 eV per atom
DFT formation energy = 3.7 kcal/mol of atoms


Computed, not measured: a relaxed structure of Pu4TcRu at the GGA-PBE level of DFT.

abc: 11.046 11.046 11.046
angles: 156.17 156.17 33.95
Atoms (fractional coordinates):
Pu (0.027, 0.775, 0.752)
Pu (0.225, 0.473, 0.248)
Pu (0.275, 0.023, 0.748)
Pu (0.477, 0.725, 0.252)
Pu (0.523, 0.275, 0.748)
Pu (0.725, 0.977, 0.252)
Pu (0.775, 0.527, 0.752)
Pu (0.973, 0.225, 0.248)
Tc (0.125, 0.375, 0.750)
Tc (0.875, 0.625, 0.250)
Ru (0.375, 0.125, 0.250)
Ru (0.625, 0.875, 0.750)

Properties
total magnetization = 0.0000 μB/atom
ΔE to the lowest computed polymorph = 582 meV/atom
uncorrected energy = -12.07 eV per atom
DFT formation energy = 17.4 kcal/mol of atoms


Computed, not measured: a relaxed structure of Pu6Tc3Ru2 at the GGA-PBE level of DFT.

abc: 10.054 10.054 10.054
angles: 150.32 150.32 42.47
Atoms (fractional coordinates):
Pu (0.090, 0.590, 0.500)
Pu (0.217, 0.217, 0.000)
Pu (0.410, 0.910, 0.500)
Pu (0.590, 0.090, 0.500)
Pu (0.783, 0.783, 0.000)
Pu (0.910, 0.410, 0.500)
Tc (0.343, 0.343, 0.000)
Tc (0.500, 0.500, 0.000)
Tc (0.657, 0.657, 0.000)
Ru (0.070, 0.070, 0.000)
Ru (0.930, 0.930, 0.000)

Properties
total magnetization = 2.4381 μB/atom
uncorrected energy = -12.09 eV per atom
DFT formation energy = 5.5 kcal/mol of atoms


Computed, not measured: a relaxed structure of PuThTcRu at the GGA-PBE level of DFT.

abc: 4.907 4.907 4.907
angles: 60.00 60.00 60.00
Atoms (fractional coordinates):
Pu (0.000, 0.000, 0.000)
Th (0.500, 0.500, 0.500)
Tc (0.250, 0.250, 0.250)
Ru (0.750, 0.750, 0.750)

Properties
total magnetization = 1.0305 μB/atom
uncorrected energy = -10.43 eV per atom
DFT formation energy = -2.0 kcal/mol of atoms


Computed, not measured: a relaxed structure of PuZnTcRu at the GGA-PBE level of DFT.

abc: 4.520 4.520 4.520
angles: 60.00 60.00 60.00
Atoms (fractional coordinates):
Pu (0.000, 0.000, 0.000)
Zn (0.500, 0.500, 0.500)
Tc (0.750, 0.750, 0.750)
Ru (0.250, 0.250, 0.250)

Properties
total magnetization = 0.8440 μB/atom
uncorrected energy = -8.88 eV per atom
DFT formation energy = -1.5 kcal/mol of atoms


Computed, not measured: a relaxed structure of PuTeRu at the GGA-PBE level of DFT.

abc: 11.615 3.461 3.461
angles: 74.66 90.00 90.00
Atoms (fractional coordinates):
Pu (0.151, 0.000, 0.000)
Pu (0.849, 0.000, 0.000)
Te (0.357, 0.587, 0.587)
Te (0.643, 0.587, 0.587)
Ru (0.000, 0.499, 0.499)
Ru (0.500, 0.978, 0.978)

Properties
uncorrected formation energy = -0.111 eV/atom
total magnetization = 1.7774 μB/atom
uncorrected energy = -9.03 eV per atom


Computed, not measured: a relaxed structure of Pu2ThRu9 at the GGA-PBE level of DFT.

abc: 9.377 9.377 9.377
angles: 32.36 32.36 32.36
Atoms (fractional coordinates):
Pu (0.141, 0.141, 0.141)
Pu (0.859, 0.859, 0.859)
Th (0.000, 0.000, 0.000)
Ru (0.078, 0.586, 0.586)
Ru (0.336, 0.336, 0.336)
Ru (0.414, 0.414, 0.922)
Ru (0.414, 0.922, 0.414)
Ru (0.500, 0.500, 0.500)
Ru (0.586, 0.078, 0.586)
Ru (0.586, 0.586, 0.078)
Ru (0.664, 0.664, 0.664)
Ru (0.922, 0.414, 0.414)

Properties
total magnetization = 0.6552 μB/atom
uncorrected energy = -10.04 eV per atom
DFT formation energy = -1.7 kcal/mol of atoms


Computed, not measured: a relaxed structure of PuThRu at the GGA-PBE level of DFT.

abc: 5.845 5.845 5.845
angles: 144.48 144.48 51.10
Atoms (fractional coordinates):
Pu (0.000, 0.000, 0.000)
Th (0.692, 0.692, 0.000)
Ru (0.349, 0.349, 0.000)

Properties
total magnetization = 1.6666 μB/atom
ΔE to the lowest computed polymorph = 0 meV/atom
uncorrected energy = -10.48 eV per atom
DFT formation energy = -3.1 kcal/mol of atoms


Computed, not measured: a relaxed structure of PuTh2Ru2 at the GGA-PBE level of DFT.

abc: 5.982 5.982 7.748
angles: 100.01 100.01 59.10
Atoms (fractional coordinates):
Pu (0.146, 0.854, 0.750)
Pu (0.854, 0.146, 0.250)
Th (0.224, 0.474, 0.347)
Th (0.474, 0.224, 0.847)
Th (0.526, 0.776, 0.153)
Th (0.776, 0.526, 0.653)
Ru (0.000, 0.262, 0.004)
Ru (0.000, 0.738, 0.996)
Ru (0.262, 0.000, 0.504)
Ru (0.738, 0.000, 0.496)

Properties
total magnetization = 1.0005 μB/atom
uncorrected energy = -9.89 eV per atom
DFT formation energy = -8.0 kcal/mol of atoms


Computed, not measured: a relaxed structure of PuTh2Ru at the GGA-PBE level of DFT.

abc: 10.286 10.286 10.286
angles: 21.28 21.28 21.28
Atoms (fractional coordinates):
Pu (0.000, 0.000, 0.000)
Th (0.110, 0.110, 0.110)
Th (0.890, 0.890, 0.890)
Ru (0.500, 0.500, 0.500)

Properties
total magnetization = 1.6441 μB/atom
ΔE to the lowest computed polymorph = 257 meV/atom
uncorrected energy = -9.44 eV per atom
DFT formation energy = 4.0 kcal/mol of atoms


Computed, not measured: a relaxed structure of PuTh2Ru at the GGA-PBE level of DFT.

abc: 3.579 3.579 7.906
angles: 90.00 90.00 90.00
Atoms (fractional coordinates):
Pu (0.000, 0.000, 0.000)
Th (0.500, 0.500, 0.282)
Th (0.500, 0.500, 0.718)
Ru (0.000, 0.000, 0.500)

Properties
total magnetization = 1.3810 μB/atom
ΔE to the lowest computed polymorph = 0 meV/atom
uncorrected energy = -9.70 eV per atom
DFT formation energy = -2.0 kcal/mol of atoms


Computed, not measured: a relaxed structure of PuThRu at the GGA-PBE level of DFT.

abc: 4.835 4.835 4.835
angles: 60.00 60.00 60.00
Atoms (fractional coordinates):
Pu (0.000, 0.000, 0.000)
Th (0.500, 0.500, 0.500)
Ru (0.250, 0.250, 0.250)

Properties
total magnetization = 1.9446 μB/atom
ΔE to the lowest computed polymorph = 80 meV/atom
uncorrected energy = -10.40 eV per atom
DFT formation energy = -1.3 kcal/mol of atoms